# 1
First-principles (PBE) data for a relaxed Tl2CuTe4As crystal, as listed in the Alexandria database.

Cell and atoms, written as CIF:
```
data_Tl2CuTe4As
_chemical_formula_sum 'Tl2 Cu1 Te4 As1'
_space_group_name_H-M_alt 'P 1'
_space_group_IT_number 1
_cell_length_a 7.394
_cell_length_b 4.163
_cell_length_c 7.901
_cell_angle_alpha 90.00
_cell_angle_beta 108.28
_cell_angle_gamma 90.00
loop_
_space_group_symop_operation_xyz
'x,y,z'
loop_
_atom_site_label
_atom_site_type_symbol
_atom_site_fract_x
_atom_site_fract_y
_atom_site_fract_z
Tl1 Tl 0.000 0.000 0.000
Tl2 Tl 0.500 0.500 0.000
Cu1 Cu 0.000 0.500 0.500
Te1 Te 0.216 0.000 0.692
Te2 Te 0.258 0.500 0.291
Te3 Te 0.742 0.500 0.709
Te4 Te 0.784 0.000 0.308
As1 As 0.500 0.000 0.500
```

Values from the calculation:
Its space group is P2/m (10). Its uncorrected energy is -3.3271 eV/atom.


# 2
First-principles (PBE) data for a relaxed Sr2CuNi3As4 crystal, as listed in the Alexandria database.

Cell and atoms, written as CIF:
```
data_Sr2CuNi3As4
_chemical_formula_sum 'Sr2 Cu1 Ni3 As4'
_space_group_name_H-M_alt 'P 1'
_space_group_IT_number 1
_cell_length_a 4.283
_cell_length_b 4.283
_cell_length_c 9.768
_cell_angle_alpha 90.00
_cell_angle_beta 90.00
_cell_angle_gamma 90.00
loop_
_space_group_symop_operation_xyz
'x,y,z'
loop_
_atom_site_label
_atom_site_type_symbol
_atom_site_fract_x
_atom_site_fract_y
_atom_site_fract_z
Sr1 Sr 0.000 0.500 0.249
Sr2 Sr 0.500 0.000 0.751
Cu1 Cu 0.500 0.500 0.000
Ni1 Ni 0.000 0.000 0.000
Ni2 Ni 0.000 0.500 0.617
Ni3 Ni 0.500 0.000 0.383
As1 As 0.000 0.000 0.500
As2 As 0.000 0.500 0.867
As3 As 0.500 0.000 0.133
As4 As 0.500 0.500 0.500
```

Values from the calculation:
Its space group is P-4m2 (115). Its formation energy is -0.633 eV per atom.


# 3
First-principles (PBE) data for a relaxed Ho5Er8Th crystal, as listed in the Alexandria database.

Cell and atoms, written as CIF:
```
data_Ho5Er8Th
_chemical_formula_sum 'Ho5 Er8 Th1'
_space_group_name_H-M_alt 'P 1'
_space_group_IT_number 1
_cell_length_a 8.365
_cell_length_b 8.365
_cell_length_c 8.365
_cell_angle_alpha 110.59
_cell_angle_beta 110.59
_cell_angle_gamma 107.25
loop_
_space_group_symop_operation_xyz
'x,y,z'
loop_
_atom_site_label
_atom_site_type_symbol
_atom_site_fract_x
_atom_site_fract_y
_atom_site_fract_z
Ho1 Ho 0.000 0.000 0.000
Ho2 Ho 0.304 0.632 0.098
Ho3 Ho 0.368 0.466 0.673
Ho4 Ho 0.534 0.206 0.902
Ho5 Ho 0.794 0.696 0.327
Er1 Er 0.017 0.413 0.257
Er2 Er 0.082 0.160 0.737
Er3 Er 0.156 0.760 0.743
Er4 Er 0.240 0.983 0.396
Er5 Er 0.424 0.346 0.263
Er6 Er 0.587 0.844 0.604
Er7 Er 0.654 0.918 0.078
Er8 Er 0.840 0.576 0.922
Th1 Th 0.750 0.250 0.500
```

Values from the calculation:
Its space group is I-4 (82). Its formation energy is 0.291 eV per atom.